Record 1
First-principles (PBE) data for a relaxed structure of ZrScBr2, as listed in the Alexandria database.

Lattice parameters (Å, degrees): 6.8836 6.8836 6.8836 90.00 90.00 90.00
Last column: nearest neighbours and their distance in Å.
Space group Fm-3m (No. 225)
One atom of each set of equivalent atoms:
Zr: 0.0000 0.0000 0.0000 (multiplicity 4)  8 Br 2.98
Sc: 0.0000 0.0000 0.5000 (multiplicity 4)  8 Br 2.98
Br: 0.2500 0.2500 0.2500 (multiplicity 8)  4 Zr 2.98, 4 Sc 2.98

Properties
excess energy over the best structure of this formula in the dataset = 694.8 meV per atom
D(E_F) = 17.92 states/eV/cell

Record 2
First-principles (PBE) data for a relaxed structure of ZrScBr2, as listed in the Alexandria database.

Lattice parameters (Å, degrees): 9.1204 3.3932 5.8066 90.00 99.65 90.00
Last column: nearest neighbours and their distance in Å.
Space group C2/m (No. 12)
One atom of each set of equivalent atoms:
Zr: 0.0000 0.0000 0.0000 (multiplicity 2)  6 Br 2.89-2.98
Sc: 0.0000 0.5000 0.5000 (multiplicity 2)  6 Br 2.83-3.14
Br: 0.2345 0.5000 0.2370 (multiplicity 4)  3 Sc 2.83-3.14, 3 Zr 2.89-2.98

Properties
excess energy over the best structure of this formula in the dataset = 490.7 meV per atom
D(E_F) = 7.11 states/eV/cell

Record 3
First-principles (PBE) data for a relaxed structure of ZrScBr2, as listed in the Alexandria database.

Lattice parameters (Å, degrees): 6.4306 6.4306 11.1482 90.00 90.00 90.00
Last column: nearest neighbours and their distance in Å.
Space group I-42d (No. 122)
One atom of each set of equivalent atoms:
Zr: 0.0000 0.0000 0.0000 (multiplicity 4)  4 Br 2.71
Sc: 0.0000 0.0000 0.5000 (multiplicity 4)  4 Br 2.62
Br: 0.2385 0.2500 0.6250 (multiplicity 8)  2 Sc 2.62, 2 Zr 2.71

Properties
excess energy over the best structure of this formula in the dataset = 958.2 meV per atom
D(E_F) = 19.13 states/eV/cell

Record 4
First-principles (PBE) data for a relaxed structure of ZrScBr2, as listed in the Alexandria database.

Lattice parameters (Å, degrees): 3.2871 4.6320 6.1348 90.00 90.00 90.00
Last column: nearest neighbours and their distance in Å.
Space group Pmmm (No. 47)
One atom of each set of equivalent atoms:
Zr: 0.0000 0.0000 0.0000 (multiplicity 1)  4 Br 2.84
Sc: 0.5000 0.0000 0.5000 (multiplicity 1)  4 Br 2.84
Br: 0.0000 0.5000 0.5000 (multiplicity 1)  4 Sc 2.84
Br: 0.5000 0.5000 0.0000 (multiplicity 1)  4 Zr 2.84

Properties
excess energy over the best structure of this formula in the dataset = 554.3 meV per atom
D(E_F) = 2.39 states/eV/cell

Record 5
First-principles (PBE) data for a relaxed structure of ZrScBr2, as listed in the Alexandria database.

Lattice parameters (Å, degrees): 4.9024 4.9024 3.3753 90.00 90.00 90.00
Last column: nearest neighbours and their distance in Å.
Space group P4/mmm (No. 123)
One atom of each set of equivalent atoms:
Zr: 0.0000 0.0000 0.0000 (multiplicity 1)  8 Br 2.98
Sc: 0.5000 0.5000 0.0000 (multiplicity 1)  8 Br 2.98
Br: 0.0000 0.5000 0.5000 (multiplicity 2)  4 Zr 2.98, 4 Sc 2.98

Properties
excess energy over the best structure of this formula in the dataset = 696.2 meV per atom
D(E_F) = 3.50 states/eV/cell

Record 6
First-principles (PBE) data for a relaxed structure of ZrSc3Br, as listed in the Alexandria database.

Lattice parameters (Å, degrees): 4.9947 4.9947 4.9947 90.00 90.00 90.00
Last column: nearest neighbours and their distance in Å.
Space group Pm-3m (No. 221)
One atom of each set of equivalent atoms:
Zr: 0.0000 0.0000 0.0000 (multiplicity 1)  12 Sc 3.53
Sc: 0.0000 0.5000 0.5000 (multiplicity 3)  2 Br 2.50
Br: 0.5000 0.5000 0.5000 (multiplicity 1)  6 Sc 2.50

Properties
excess energy over the best structure of this formula in the dataset = 0.0 meV per atom
D(E_F) = 1.30 states/eV/cell

Record 7
First-principles (PBE) data for a relaxed structure of ZrScBr2, as listed in the Alexandria database.

Lattice parameters (Å, degrees): 3.5369 3.5369 30.1357 90.00 90.00 120.00
Last column: nearest neighbours and their distance in Å.
Space group R3m (No. 160, hexagonal axes)
One atom of each set of equivalent atoms:
Zr: 0.0000 0.0000 0.0000 (multiplicity 3)  3 Br 2.78
Sc: 0.0000 0.0000 0.7477 (multiplicity 3)  3 Br 2.75
Br: 0.0000 0.0000 0.2709 (multiplicity 3)  3 Zr 2.78
Br: 0.0000 0.0000 0.4752 (multiplicity 3)  3 Sc 2.75

Properties
excess energy over the best structure of this formula in the dataset = 0.0 meV per atom
D(E_F) = 6.50 states/eV/cell

Record 8
First-principles (PBE) data for a relaxed structure of ZrScBr, as listed in the Alexandria database.

Lattice parameters (Å, degrees): 6.4771 6.4771 6.4771 90.00 90.00 90.00
Last column: nearest neighbours and their distance in Å.
Space group F-43m (No. 216)
One atom of each set of equivalent atoms:
Zr: 0.0000 0.0000 0.0000 (multiplicity 4)  4 Br 2.80
Sc: 0.0000 0.0000 0.5000 (multiplicity 4)  4 Br 2.80
Br: 0.2500 0.2500 0.2500 (multiplicity 4)  4 Zr 2.80, 4 Sc 2.80

Properties
excess energy over the best structure of this formula in the dataset = 614.2 meV per atom
D(E_F) = 0.81 states/eV/cell

Record 9
First-principles (PBE) data for a relaxed structure of ZrScBr2, as listed in the Alexandria database.

Lattice parameters (Å, degrees): 3.4237 5.3116 5.2365 90.00 103.89 90.00
Last column: nearest neighbours and their distance in Å.
Space group Pm (No. 6)
One atom of each set of equivalent atoms:
Zr: 0.0000 0.0000 0.0000 (multiplicity 1)  5 Br 2.80-2.89
Sc: 0.5626 0.5000 0.2518 (multiplicity 1)  3 Br 2.75-2.93
Br: 0.3331 0.0000 0.5619 (multiplicity 1)  3 Zr 2.80-2.89
Br: 0.9186 0.5000 0.8196 (multiplicity 1)  3 Sc 2.75-2.93, 2 Zr 2.81

Properties
excess energy over the best structure of this formula in the dataset = 488.4 meV per atom
D(E_F) = 3.30 states/eV/cell

Record 10
First-principles (PBE) data for a relaxed structure of ZrScBr2, as listed in the Alexandria database.

Lattice parameters (Å, degrees): 3.3696 3.3696 9.3734 90.00 90.00 90.00
Last column: nearest neighbours and their distance in Å.
Space group P4mm (No. 99)
One atom of each set of equivalent atoms:
Zr: 0.0000 0.0000 0.0000 (multiplicity 1)  4 Br 2.90
Sc: 0.5000 0.5000 0.7556 (multiplicity 1)  4 Br 2.89
Br: 0.0000 0.0000 0.5803 (multiplicity 1)  4 Sc 2.89
Br: 0.5000 0.5000 0.1773 (multiplicity 1)  4 Zr 2.90

Properties
excess energy over the best structure of this formula in the dataset = 188.1 meV per atom
D(E_F) = 2.88 states/eV/cell

Record 11
First-principles (PBE) data for a relaxed structure of ZrScBr2, as listed in the Alexandria database.

Lattice parameters (Å, degrees): 3.2655 6.2133 9.2825 90.00 90.00 90.00
Last column: nearest neighbours and their distance in Å.
Space group Cmmm (No. 65)
One atom of each set of equivalent atoms:
Zr: 0.0000 0.0000 0.0000 (multiplicity 2)  4 Br 2.83
Sc: 0.0000 0.0000 0.5000 (multiplicity 2)  4 Br 2.84
Br: 0.0000 0.5000 0.2492 (multiplicity 4)  2 Zr 2.83, 2 Sc 2.84

Properties
excess energy over the best structure of this formula in the dataset = 550.8 meV per atom
D(E_F) = 5.61 states/eV/cell

Record 12
First-principles (PBE) data for a relaxed structure of ZrScBr2, as listed in the Alexandria database.

Lattice parameters (Å, degrees): 3.8754 3.8754 12.2822 90.00 90.00 90.00
Last column: nearest neighbours and their distance in Å.
Space group I-4m2 (No. 119)
One atom of each set of equivalent atoms:
Zr: 0.0000 0.0000 0.0000 (multiplicity 2)  4 Br 2.74
Sc: 0.0000 0.5000 0.2500 (multiplicity 2)  4 Br 2.74
Br: 0.0000 0.0000 0.5000 (multiplicity 2)  4 Zr 2.74
Br: 0.0000 0.5000 0.7500 (multiplicity 2)  4 Sc 2.74

Properties
excess energy over the best structure of this formula in the dataset = 809.9 meV per atom
D(E_F) = 9.77 states/eV/cell

no.,formation energy from raw total energies (eV per formula unit),final energy (eV per atom)
1,-1.4,-4.914
2,-2.2,-5.118
3,-0.4,-4.650
4,-2.0,-5.054
5,-1.4,-4.912
6,0.1,-5.833
7,-4.2,-5.609
8,0.3,-5.417
9,-2.3,-5.120
10,-3.5,-5.421
11,-2.0,-5.058
12,-1.0,-4.799